(1)
Compound: Al3SiTe
Source: Alexandria
Functional: PBE
Structure: relaxed

Unit cell a=5.262 b=5.262 c=5.262 alpha=90.00 beta=90.00 gamma=90.00
Space group Pm-3m (No. 221)
Unique sites:
Al 0.000 0.000 0.500 x3
Si 0.500 0.500 0.500 x1
Te 0.000 0.000 0.000 x1

The value obtained for the energy above the most stable polymorph in this dataset is 869 meV per atom. For the uncorrected formation energy, the calculation gives 573 kJ/mol of formula units. The mass density comes out at 2.70 g/cm3. Its crystal system is cubic.

(2)
Compound: PuMgFe2
Source: Alexandria
Functional: PBE
Structure: relaxed

Unit cell a=4.585 b=4.585 c=3.098 alpha=90.00 beta=90.00 gamma=90.00
Space group P4/mmm (No. 123)
Unique sites:
Pu 0.000 0.000 0.000 x1
Mg 0.500 0.500 0.000 x1
Fe 0.000 0.500 0.500 x2

The calculation puts the calculated formation energy at 139 meV per atom. The mass density comes out at 9.69 g/cm3. Its crystal system is tetragonal.

(3)
Compound: Zn3SeF
Source: Alexandria
Functional: PBE
Structure: relaxed

Unit cell a=4.857 b=6.059 c=7.406 alpha=112.15 beta=92.10 gamma=112.62
Space group P1 (No. 1)
Unique sites:
Zn 0.000 0.000 0.000 x1
Zn 0.018 0.928 0.611 x1
Zn 0.269 0.515 0.149 x1
Zn 0.494 0.817 0.752 x1
Zn 0.523 0.265 0.244 x1
Zn 0.571 0.197 0.647 x1
Se 0.053 0.572 0.873 x1
Se 0.710 0.957 0.309 x1
F 0.478 0.447 0.537 x1
F 0.963 0.557 0.338 x1

The value obtained for the energy above the most stable polymorph in this dataset is 25 meV per atom. For the uncorrected formation energy, the calculation gives -378 kJ/mol of formula units. The mass density comes out at 5.37 g/cm3. Its crystal system is triclinic.

Which of these has the highest mass density?
PuMgFe2

Among the records above, which one has the highest mass density?
PuMgFe2